Cu2SBr (GGA-PBEsol, optimized geometry); space-group type = I-42d, No. 122; final energy = -3.974 eV per atom; ΔE_f (raw) = -23.5 kJ per mole of atoms
1.0
-2.685 2.685 5.349
2.685 -2.685 5.349
2.685 2.685 -5.349
Cu S Br
4 2 2
Cartesian
4.027 1.084 -1.337
1.084 1.342 1.337
-1.342 1.601 4.012
1.601 1.342 6.687
0.000 0.000 0.000
0.000 2.685 2.675
2.685 0.000 2.675
0.000 0.000 5.349



Hg3AsO5 (GGA-PBEsol, optimized geometry); space-group type = P2_1/c, No. 14; final energy = -4.340 eV per atom; ΔE_f (raw) = -64.4 kJ per mole of atoms
1.0
6.980 0.000 0.000
0.000 9.089 0.000
-5.653 0.000 8.941
Hg As O
12 4 20
Cartesian
-0.022 1.193 0.482
-2.848 3.352 4.952
-1.158 0.058 4.340
-3.985 4.487 8.811
-2.412 1.244 7.571
0.415 3.301 3.100
0.912 5.788 5.841
3.739 7.845 1.370
5.311 4.602 0.130
2.485 9.031 4.601
4.175 5.737 3.989
1.348 7.896 8.459
0.472 6.727 2.573
-2.355 6.906 7.043
3.681 2.183 1.898
0.855 2.362 6.368
-1.086 6.158 2.168
-3.912 7.476 6.639
-2.524 1.236 5.505
0.303 3.309 1.034
1.540 6.640 1.240
-1.287 6.994 5.710
-2.369 5.275 7.631
0.458 8.359 3.161
2.929 1.157 0.695
0.102 3.388 5.165
1.225 5.701 3.776
-1.602 7.933 8.246
0.868 0.730 5.781
3.695 3.814 1.310
2.613 2.096 3.231
-0.214 2.449 7.702
1.023 5.780 7.907
3.850 7.853 3.436
5.239 1.613 2.302
2.412 2.931 6.773



ScNiBr2 (GGA-PBEsol, optimized geometry); space-group type = C2/m, No. 12; relative energy among the computed polymorphs = 49 meV per atom; final energy = -4.432 eV per atom; ΔE_f (raw) = -29.6 kJ per mole of atoms
1.0
3.176 -4.154 0.000
3.176 4.154 0.000
-2.064 0.000 3.052
Sc Ni Br
1 1 2
Cartesian
0.000 0.000 0.000
3.176 0.000 0.000
1.588 2.077 0.000
1.588 -2.077 0.000



Number 1: total moment 0.00 Bohr magnetons per cell. Number 2: total moment 0.00 Bohr magnetons per cell. Number 3: total moment 0.00 Bohr magnetons per cell.